# 1
# Tl2V3Cl8, optimized geometry, DFT PBE
# - mass density (Mg/m³) = 3.90
# - raw formation energy (eV/atom) = -1.089
# - VASP energy (hartree per atom) = -0.172
data_Tl2V3Cl8
_symmetry_space_group_name_H-M 'C 1 2/m 1'
_symmetry_Int_Tables_number 12
_symmetry_space_group_name_Hall '-C 2y'
_cell_length_a 15.422
_cell_length_b 7.515
_cell_length_c 6.490
_cell_angle_alpha 90.00
_cell_angle_beta 106.98
_cell_angle_gamma 90.00
loop_
_atom_site_label
_atom_site_type_symbol
_atom_site_fract_x
_atom_site_fract_y
_atom_site_fract_z
_atom_site_occupancy
Tl1 Tl 0.227 0.000 0.165 1
V1 V 0.000 0.247 0.500 1
V2 V 0.000 0.500 0.000 1
Cl1 Cl 0.089 0.500 0.394 1
Cl2 Cl 0.091 0.271 0.884 1
Cl3 Cl 0.097 0.000 0.447 1

# 2
# Tl2V3Cl10, optimized geometry, DFT PBE
# - mass density (Mg/m³) = 4.13
# - raw formation energy (eV/atom) = -1.139
# - VASP energy (hartree per atom) = -0.166
data_Tl2V3Cl10
_symmetry_space_group_name_H-M 'C 1 2/m 1'
_symmetry_Int_Tables_number 12
_symmetry_space_group_name_Hall '-C 2y'
_cell_length_a 22.952
_cell_length_b 7.191
_cell_length_c 9.624
_cell_angle_alpha 90.00
_cell_angle_beta 111.77
_cell_angle_gamma 90.00
loop_
_atom_site_label
_atom_site_type_symbol
_atom_site_fract_x
_atom_site_fract_y
_atom_site_fract_z
_atom_site_occupancy
Tl1 Tl 0.131 0.000 0.224 1
Tl2 Tl 0.235 0.000 0.822 1
V1 V 0.000 0.247 0.500 1
V2 V 0.075 0.500 0.972 1
V3 V 0.175 0.500 0.521 1
Cl1 Cl 0.000 0.278 0.000 1
Cl2 Cl 0.019 0.000 0.679 1
Cl3 Cl 0.020 0.500 0.687 1
Cl4 Cl 0.109 0.249 0.531 1
Cl5 Cl 0.132 0.500 0.246 1
Cl6 Cl 0.140 0.260 0.959 1
Cl7 Cl 0.231 0.500 0.776 1
Cl8 Cl 0.250 0.250 0.500 1

# 3
# Tl3VCl6, optimized geometry, DFT PBE
# - energy above the most stable polymorph in this dataset (meV/atom) = 0
# - mass density (Mg/m³) = 4.82
# - raw formation energy (eV/atom) = -1.108
# - VASP energy (hartree per atom) = -0.141
data_Tl3VCl6
_symmetry_space_group_name_H-M 'P 1 21/c 1'
_symmetry_Int_Tables_number 14
_symmetry_space_group_name_Hall '-P 2ybc'
_cell_length_a 7.204
_cell_length_b 7.923
_cell_length_c 12.633
_cell_angle_alpha 90.00
_cell_angle_beta 123.16
_cell_angle_gamma 90.00
loop_
_atom_site_label
_atom_site_type_symbol
_atom_site_fract_x
_atom_site_fract_y
_atom_site_fract_z
_atom_site_occupancy
Tl1 Tl 0.000 0.000 0.000 1
Tl2 Tl 0.216 0.070 0.742 1
V1 V 0.500 0.000 0.500 1
Cl1 Cl 0.185 0.160 0.462 1
Cl2 Cl 0.283 0.746 0.437 1
Cl3 Cl 0.391 0.047 0.285 1

# 4
# Tl3V2Cl7, optimized geometry, DFT PBE
# - mass density (Mg/m³) = 5.05
# - raw formation energy (eV/atom) = -1.029
# - VASP energy (hartree per atom) = -0.155
data_Tl3V2Cl7
_symmetry_space_group_name_H-M 'C m m m'
_symmetry_Int_Tables_number 65
_symmetry_space_group_name_Hall '-C 2 2'
_cell_length_a 4.980
_cell_length_b 25.778
_cell_length_c 4.931
_cell_angle_alpha 90.00
_cell_angle_beta 90.00
_cell_angle_gamma 90.00
loop_
_atom_site_label
_atom_site_type_symbol
_atom_site_fract_x
_atom_site_fract_y
_atom_site_fract_z
_atom_site_occupancy
Tl1 Tl 0.000 0.000 0.000 1
Tl2 Tl 0.000 0.183 0.000 1
V1 V 0.000 0.400 0.500 1
Cl1 Cl 0.000 0.095 0.500 1
Cl2 Cl 0.000 0.306 0.500 1
Cl3 Cl 0.000 0.405 0.000 1
Cl4 Cl 0.000 0.500 0.500 1